VASP calculation (PBE) on an optimized crystal structure of InAs3H.

POSCAR file:
```
InAs3H
1.0
5.306 0.000 0.000
0.000 5.306 0.000
0.000 0.000 5.306
In As H
1 3 1
direct
0.000 0.000 0.000
0.000 0.000 0.500
0.000 0.500 0.000
0.500 0.000 0.000
0.500 0.500 0.500
```

## Properties
**E**: -2.633 eV/atom
**Crystal system**: cubic
**Magnetic moment**: 1.0 μB/f.u.

VASP calculation (PBE) on an optimized crystal structure of PmPrY2Ho5.

POSCAR file:
```
PmPrY2Ho5
1.0
2.818 -9.896 0.000
2.818 9.896 0.000
0.000 0.000 10.649
Pm Pr Y Ho
2 2 4 10
direct
0.203 0.797 0.500
0.797 0.203 0.000
0.418 0.582 0.941
0.582 0.418 0.441
0.110 0.890 0.223
0.114 0.886 0.810
0.886 0.114 0.310
0.890 0.110 0.723
0.018 0.982 0.517
0.283 0.717 0.798
0.298 0.702 0.197
0.392 0.608 0.512
0.478 0.522 0.225
0.522 0.478 0.725
0.608 0.392 0.012
0.702 0.298 0.697
0.717 0.283 0.298
0.982 0.018 0.017
```

## Properties
**E**: -4.882 eV/atom
**Crystal system**: orthorhombic
**Magnetic moment**: 0.0 μB/f.u.

VASP calculation (PBE) on an optimized crystal structure of AlCu3Pd.

POSCAR file:
```
AlCu3Pd
1.0
4.649 0.000 0.000
0.000 4.649 0.000
0.000 0.000 4.649
Al Cu Pd
1 3 1
direct
0.000 0.000 0.000
0.000 0.500 0.500
0.500 0.000 0.500
0.500 0.500 0.000
0.500 0.500 0.500
```

## Properties
**E**: -3.406 eV/atom
**Crystal system**: cubic
**Magnetic moment**: 0.0 μB/f.u.

VASP calculation (PBE) on an optimized crystal structure of Sb2Te.

POSCAR file:
```
Sb2Te
1.0
6.159 -2.073 0.000
6.159 2.073 0.000
-2.390 0.000 9.484
Sb Te
4 2
direct
0.085 0.085 0.192
0.293 0.293 0.103
0.707 0.707 0.897
0.915 0.915 0.808
0.350 0.350 0.603
0.650 0.650 0.397
```

## Properties
**Crystal system**: monoclinic
**E_form (uncorrected)**: 0.041 eV per atom
**Magnetic moment**: 0.0 μB/f.u.

VASP calculation (PBE) on an optimized crystal structure of PrCl5.

POSCAR file:
```
PrCl5
1.0
4.224 0.000 0.000
0.000 5.547 0.000
-0.600 0.000 11.323
Pr Cl
1 5
direct
0.000 0.000 0.000
0.000 0.500 0.000
0.477 0.000 0.840
0.523 0.000 0.160
0.530 0.500 0.589
0.551 0.500 0.414
```

## Properties
**Crystal system**: monoclinic
**E_form (uncorrected)**: -1.471 eV per atom
**Magnetic moment**: 0.0 μB/f.u.

VASP calculation (PBE) on an optimized crystal structure of TbErNiRu.

POSCAR file:
```
TbErNiRu
1.0
3.392 0.000 0.000
0.000 3.392 0.000
0.000 0.000 6.746
Tb Er Ni Ru
1 1 1 1
direct
0.000 0.000 0.000
0.000 0.000 0.497
0.500 0.500 0.743
0.500 0.500 0.253
```

## Properties
**E**: -6.486 eV/atom
**Crystal system**: tetragonal
**Magnetic moment**: 0.0 μB/f.u.

VASP calculation (PBE) on an optimized crystal structure of KScGaCo2.

POSCAR file:
```
KScGaCo2
1.0
4.716 0.000 0.000
0.000 4.716 0.000
0.000 0.000 5.458
K Sc Ga Co
1 1 1 2
direct
0.000 0.000 0.000
0.500 0.500 0.500
0.500 0.500 0.000
0.000 0.500 0.500
0.500 0.000 0.500
```

## Properties
**E**: -4.021 eV/atom
**Crystal system**: tetragonal
**Magnetic moment**: 2.0 μB/f.u.

VASP calculation (PBE) on an optimized crystal structure of Ba2In2Hg.

POSCAR file:
```
Ba2In2Hg
1.0
8.176 0.000 0.000
0.000 8.176 0.000
0.000 0.000 5.468
Ba In Hg
4 4 2
direct
0.167 0.333 0.000
0.333 0.833 0.000
0.667 0.167 0.000
0.833 0.667 0.000
0.135 0.635 0.500
0.365 0.135 0.500
0.635 0.865 0.500
0.865 0.365 0.500
0.000 0.000 0.500
0.500 0.500 0.500
```

## Properties
**E**: -2.236 eV/atom
**Crystal system**: tetragonal
**Magnetic moment**: 0.0 μB/f.u.

VASP calculation (PBE) on an optimized crystal structure of Pu2Zn16Cd.

POSCAR file:
```
Pu2Zn16Cd
1.0
4.540 2.621 4.439
-4.540 2.621 4.439
0.000 -5.242 4.439
Pu Zn Cd
2 16 1
direct
0.000 0.000 0.000
0.321 0.321 0.321
0.014 0.014 0.496
0.014 0.496 0.014
0.166 0.656 0.656
0.307 0.307 0.821
0.307 0.821 0.307
0.359 0.659 0.959
0.359 0.959 0.659
0.496 0.014 0.014
0.551 0.551 0.551
0.656 0.166 0.656
0.656 0.656 0.166
0.659 0.359 0.959
0.659 0.959 0.359
0.821 0.307 0.307
0.959 0.359 0.659
0.959 0.659 0.359
0.757 0.757 0.757
```

## Properties
**E**: -2.761 eV/atom
**Crystal system**: trigonal
**Magnetic moment**: 11.1 μB/f.u.

VASP calculation (PBE) on an optimized crystal structure of TbY2Al2.

POSCAR file:
```
TbY2Al2
1.0
-2.382 3.299 4.188
2.382 -3.299 4.188
2.382 3.299 -4.188
Tb Y Al
1 2 2
direct
0.000 0.000 0.000
0.303 0.803 0.500
0.697 0.197 0.500
0.301 0.500 0.801
0.699 0.500 0.199
```

## Properties
**E**: -5.340 eV/atom
**Crystal system**: orthorhombic
**Magnetic moment**: 0.0 μB/f.u.

VASP calculation (PBE) on an optimized crystal structure of ThZnH.

POSCAR file:
```
ThZnH
1.0
3.558 -2.053 0.000
3.558 2.053 0.000
-2.384 0.000 7.496
Th Zn H
2 2 2
direct
0.097 0.097 0.291
0.903 0.903 0.709
0.336 0.336 0.006
0.664 0.664 0.994
0.203 0.203 0.609
0.797 0.797 0.391
```

## Properties
**E**: -4.306 eV/atom
**Crystal system**: monoclinic
**Magnetic moment**: 0.0 μB/f.u.

VASP calculation (PBE) on an optimized crystal structure of NdHo2In9.

POSCAR file:
```
NdHo2In9
1.0
4.662 0.000 0.000
0.000 4.662 0.000
0.000 0.000 13.953
Nd Ho In
1 2 9
direct
0.000 0.000 0.000
0.000 0.000 0.335
0.000 0.000 0.665
0.000 0.500 0.171
0.000 0.500 0.500
0.000 0.500 0.829
0.500 0.000 0.171
0.500 0.000 0.500
0.500 0.000 0.829
0.500 0.500 0.000
0.500 0.500 0.334
0.500 0.500 0.666
```

## Properties
**E**: -3.637 eV/atom
**Crystal system**: tetragonal
**Magnetic moment**: 0.0 μB/f.u.

VASP calculation (PBE) on an optimized crystal structure of RbBiS2.

POSCAR file:
```
RbBiS2
1.0
2.085 1.204 7.849
-2.085 1.204 7.849
0.000 -2.408 7.849
Rb Bi S
1 1 2
direct
0.000 0.000 0.000
0.169 0.169 0.169
0.569 0.569 0.569
0.769 0.769 0.769
```

## Properties
**Crystal system**: trigonal
**E_form (uncorrected)**: -0.760 eV per atom
**Magnetic moment**: 0.0 μB/f.u.

VASP calculation (PBE) on an optimized crystal structure of Mg3HgP.

POSCAR file:
```
Mg3HgP
1.0
5.120 0.000 0.000
0.000 5.120 0.000
0.000 0.000 5.120
Mg Hg P
3 1 1
direct
0.000 0.000 0.500
0.000 0.500 0.000
0.500 0.000 0.000
0.000 0.000 0.000
0.500 0.500 0.500
```

## Properties
**E**: -1.675 eV/atom
**Crystal system**: cubic
**Magnetic moment**: 0.0 μB/f.u.

VASP calculation (PBE) on an optimized crystal structure of Ce3PmY2N6.

POSCAR file:
```
Ce3PmY2N6
1.0
3.073 -5.321 0.000
3.073 5.321 0.000
-2.049 0.000 5.783
Ce Pm Y N
3 1 2 6
direct
0.000 0.000 0.000
0.333 0.667 0.000
0.667 0.333 0.000
0.500 0.500 0.500
0.167 0.833 0.500
0.833 0.167 0.500
0.075 0.415 0.246
0.244 0.244 0.753
0.415 0.075 0.246
0.585 0.925 0.754
0.756 0.756 0.247
0.925 0.585 0.754
```

## Properties
**Crystal system**: monoclinic
**E_form (uncorrected)**: -1.553 eV per atom
**Magnetic moment**: 0.6 μB/f.u.

VASP calculation (PBE) on an optimized crystal structure of SrLiHoGe.

POSCAR file:
```
SrLiHoGe
1.0
0.000 3.714 3.714
3.714 0.000 3.714
3.714 3.714 0.000
Sr Li Ho Ge
1 1 1 1
direct
0.000 0.000 0.000
0.750 0.750 0.750
0.500 0.500 0.500
0.250 0.250 0.250
```

## Properties
**E**: -3.472 eV/atom
**Crystal system**: cubic
**Magnetic moment**: 0.0 μB/f.u.

VASP calculation (PBE) on an optimized crystal structure of TbY2HoEr.

POSCAR file:
```
TbY2HoEr
1.0
3.181 -8.287 0.000
3.181 8.287 0.000
0.000 0.000 6.366
Tb Y Ho Er
2 4 2 2
direct
0.158 0.842 0.750
0.842 0.158 0.250
0.250 0.250 0.000
0.250 0.250 0.500
0.750 0.750 0.000
0.750 0.750 0.500
0.343 0.657 0.750
0.657 0.343 0.250
0.249 0.751 0.250
0.751 0.249 0.750
```

## Properties
**E**: -4.952 eV/atom
**Crystal system**: orthorhombic
**Magnetic moment**: 0.0 μB/f.u.

VASP calculation (PBE) on an optimized crystal structure of BeTeAs2F.

POSCAR file:
```
BeTeAs2F
1.0
5.455 0.000 0.000
0.000 5.455 0.000
0.000 0.000 4.458
Be Te As F
1 1 2 1
direct
0.000 0.000 0.000
0.000 0.000 0.500
0.000 0.500 0.500
0.500 0.000 0.500
0.500 0.500 0.000
```

## Properties
**Crystal system**: tetragonal
**E_form (uncorrected)**: 0.911 eV per atom
**Magnetic moment**: 0.0 μB/f.u.

VASP calculation (PBE) on an optimized crystal structure of LaSm2Th4.

POSCAR file:
```
LaSm2Th4
1.0
1.796 -18.281 0.000
1.796 18.281 0.000
0.000 0.000 3.582
La Sm Th
1 2 4
direct
0.000 0.000 0.000
0.293 0.707 0.500
0.707 0.293 0.500
0.139 0.861 0.000
0.427 0.573 0.500
0.573 0.427 0.500
0.861 0.139 0.000
```

## Properties
**E**: -6.212 eV/atom
**Crystal system**: orthorhombic
**Magnetic moment**: 0.0 μB/f.u.

VASP calculation (PBE) on an optimized crystal structure of Nd3CuTe2.

POSCAR file:
```
Nd3CuTe2
1.0
3.775 -6.539 0.000
3.775 6.539 0.000
-2.548 0.000 7.350
Nd Cu Te
6 2 4
direct
0.073 0.421 0.766
0.227 0.227 0.228
0.421 0.073 0.766
0.579 0.927 0.234
0.773 0.773 0.772
0.927 0.579 0.234
0.169 0.831 0.000
0.831 0.169 0.000
0.000 0.000 0.500
0.342 0.658 0.500
0.500 0.500 0.000
0.658 0.342 0.500
```

## Properties
**Crystal system**: monoclinic
**E_form (uncorrected)**: -0.972 eV per atom
**Magnetic moment**: 0.0 μB/f.u.